Entry from Alexandria: a relaxed LiAcGeN crystal (GGA-PBE).

Geometry as POSCAR:
```
LiAcGeN
1.0
-3.569 0.329 -0.751
-0.832 -3.321 2.498
-0.122 4.742 2.659
Ge Li N Ac
1 1 1 1
Cartesian
-0.683 -2.518 2.144
-0.259 3.095 2.585
-0.089 1.838 1.227
-2.261 0.417 2.003
```

Computed properties:
- volume (Å³/cell) = 77.67
- symmetry = No. 6
- ΔE_f (raw) (meV per atom) = -603
- calculated total energy (Ry per atom) = -0.3928

---

Entry from Alexandria: a relaxed CaFeIr2 crystal (GGA-PBE).

Geometry as POSCAR:
```
CaFeIr2
1.0
-1.977 -0.670 -1.977
1.774 -1.974 -1.105
-3.078 -5.546 4.960
Ir Ca Fe
2 1 1
Cartesian
-3.047 -5.490 4.910
-0.767 -2.521 -0.469
-1.531 -2.757 2.466
-2.554 -5.740 2.411
```

Computed properties:
- volume (Å³/cell) = 66.56
- symmetry = No. 99
- calculated formation energy (meV/atom) = 219
- calculated total energy (Ry per atom) = -0.5018

---

Among the records above, which one has the lowest volume?
CaFeIr2

---

Which of these has the lowest volume?
CaFeIr2

---

Which value of calculated total energy does entry 1 give?
-0.3928 Ry per atom

---

Which value of calculated total energy does entry 1 give?
-0.3928 Ry per atom